1.
# PBE SmAlSi, optimized geometry
# - energy (eV for the cell shown) = -58.0
# - magnetic moment (μB/f.u.) = 0.00
data_SmAlSi
_cell_length_a 6.474
_cell_length_b 6.474
_cell_length_c 6.474
_cell_angle_alpha 90.00
_cell_angle_beta 90.00
_cell_angle_gamma 90.00
_space_group_name_H-M_alt 'F -4 3 m'
_space_group_IT_number 216
_space_group_name_Hall 'F -4 2 3'
loop_
_atom_site_label
_atom_site_fract_x
_atom_site_fract_y
_atom_site_fract_z
Sm1 0.000 0.000 0.000
Al1 0.000 0.000 0.500
Si1 0.250 0.250 0.750

2.
# PBE SmAlSi, optimized geometry
# - energy (eV for the cell shown) = -43.2
# - magnetic moment (μB/f.u.) = 0.00
data_SmAlSi
_cell_length_a 7.5551
_cell_length_b 7.5551
_cell_length_c 4.0931
_cell_angle_alpha 90.00
_cell_angle_beta 90.00
_cell_angle_gamma 120.00
_space_group_name_H-M_alt 'P -6 2 m'
_space_group_IT_number 189
_space_group_name_Hall 'P -6 -2'
loop_
_atom_site_label
_atom_site_fract_x
_atom_site_fract_y
_atom_site_fract_z
Sm1 0.0000 0.2775 0.0000
Al1 0.0000 0.5993 0.5000
Si1 0.0000 0.0000 0.5000
Si2 0.3333 0.6667 0.0000

3.
# PBE TaAlSi, optimized geometry
# - energy (eV for the cell shown) = -80.7
# - magnetic moment (μB/f.u.) = 1.06
data_TaAlSi
_cell_length_a 5.957
_cell_length_b 5.957
_cell_length_c 5.957
_cell_angle_alpha 90.00
_cell_angle_beta 90.00
_cell_angle_gamma 90.00
_space_group_name_H-M_alt 'F -4 3 m'
_space_group_IT_number 216
_space_group_name_Hall 'F -4 2 3'
loop_
_atom_site_label
_atom_site_fract_x
_atom_site_fract_y
_atom_site_fract_z
Ta1 0.000 0.000 0.000
Al1 0.000 0.000 0.500
Si1 0.250 0.250 0.750

4.
# PBE Tb2AlSi, optimized geometry
# - energy (eV for the cell shown) = -42.0
# - magnetic moment (μB/f.u.) = 0.03
data_Tb2AlSi
_cell_length_a 5.864
_cell_length_b 3.984
_cell_length_c 8.524
_cell_angle_alpha 90.00
_cell_angle_beta 107.63
_cell_angle_gamma 90.00
_space_group_name_H-M_alt 'P 1 21/m 1'
_space_group_IT_number 11
_space_group_name_Hall '-P 2yb'
loop_
_atom_site_label
_atom_site_fract_x
_atom_site_fract_y
_atom_site_fract_z
Tb1 0.203 0.250 0.424
Tb2 0.281 0.750 0.067
Al1 0.361 0.750 0.714
Si1 0.142 0.250 0.790

5.
# PBE TbYAlSi2, optimized geometry
# - energy (eV for the cell shown) = -58.7
# - magnetic moment (μB/f.u.) = 0.00
data_TbYAlSi2
_cell_length_a 4.086
_cell_length_b 5.722
_cell_length_c 8.764
_cell_angle_alpha 90.00
_cell_angle_beta 90.00
_cell_angle_gamma 90.00
_space_group_name_H-M_alt 'I m m 2'
_space_group_IT_number 44
_space_group_name_Hall 'I 2 -2'
loop_
_atom_site_label
_atom_site_fract_x
_atom_site_fract_y
_atom_site_fract_z
Tb1 0.000 0.000 0.000
Y1 0.000 0.000 0.579
Al1 0.000 0.500 0.789
Si1 0.000 0.289 0.290

6.
# PBE TbYAl3Si2, optimized geometry
# - energy (eV for the cell shown) = -74.1
# - magnetic moment (μB/f.u.) = 0.00
data_TbYAl3Si2
_cell_length_a 10.203
_cell_length_b 4.056
_cell_length_c 6.629
_cell_angle_alpha 90.00
_cell_angle_beta 101.16
_cell_angle_gamma 90.00
_space_group_name_H-M_alt 'C 1 m 1'
_space_group_IT_number 8
_space_group_name_Hall 'C -2y'
loop_
_atom_site_label
_atom_site_fract_x
_atom_site_fract_y
_atom_site_fract_z
Tb1 0.000 0.000 0.000
Y1 0.261 0.500 0.356
Al1 0.075 0.000 0.544
Al2 0.185 0.500 0.811
Al3 0.380 0.000 0.678
Si1 0.288 0.000 0.037
Si2 0.473 0.000 0.318